Entry 1:
First-principles (PBE-GGA) data for a relaxed AlIn3 crystal, as listed in Alexandria.

Values from the calculation:
Mass density in g/cm3: 6.3
Uncorrected energy in eV per atom: -2.871
Energy of formation from the pure elements in eV per atom: 0.119

```
4
Lattice="3.400 0.000 0.000 0.000 4.339 0.000 0.000 0.000 6.683" Properties=species:S:1:pos:R:3 pbc="T T T"
Al 0.000 0.000 0.000
In 1.700 2.170 5.127
In 1.700 2.170 1.555
In 0.000 0.000 3.341
```

***

Entry 2:
First-principles (PBE-GGA) data for a relaxed BaMgIn2 crystal, as listed in Alexandria.

Values from the calculation:
Mass density in g/cm3: 5.1
Uncorrected energy in eV per atom: -2.421
Energy of formation from the pure elements in eV per atom: -0.172

```
4
Lattice="8.721 -0.018 -0.033 -3.080 4.195 -0.018 2.560 1.880 3.459" Properties=species:S:1:pos:R:3 pbc="T T T"
In 0.000 0.000 0.000
In 5.641 0.931 1.713
Mg -0.260 3.037 1.720
Ba 2.820 2.088 -0.026
```

***

Entry 3:
First-principles (PBE-GGA) data for a relaxed La2Ho5Sc crystal, as listed in Alexandria.

Values from the calculation:
Mass density in g/cm3: 7.5
Uncorrected energy in eV per atom: -4.835
Energy of formation from the pure elements in eV per atom: 0.050

```
8
Lattice="4.946 0.000 -0.959 -0.186 4.943 -0.959 -0.516 -0.536 10.573" Properties=species:S:1:pos:R:3 pbc="T T T"
La 3.315 3.442 3.861
La 0.930 0.965 4.793
Ho 2.380 2.471 -0.959
Ho 0.350 2.931 1.803
Ho 3.895 1.476 6.851
Ho 2.916 0.460 1.803
Ho 1.329 3.948 6.851
Sc 0.000 0.000 0.000
```

***

Entry 4:
First-principles (PBE-GGA) data for a relaxed BaNi2Br crystal, as listed in Alexandria.

Values from the calculation:
Energy above the lowest structure with this stoichiometry in meV/atom: 136
Mass density in g/cm3: 5.6
Formation energy from raw total energies in meV/atom: -31
Uncorrected energy in eV per atom: -3.821

```
8
Lattice="4.863 0.000 0.000 0.000 4.863 0.000 2.432 2.432 8.364" Properties=species:S:1:pos:R:3 pbc="T T T"
Ba 0.000 0.000 0.000
Ba 4.863 2.432 4.182
Ni 6.079 4.866 6.273
Ni 2.434 1.216 2.091
Ni 2.429 3.648 2.091
Ni 3.648 4.861 6.273
Br 2.432 2.432 0.000
Br 2.432 4.863 4.182
```

***

Entry 5:
First-principles (PBE-GGA) data for a relaxed CsGa2Ag crystal, as listed in Alexandria.

Values from the calculation:
Mass density in g/cm3: 5.7
Uncorrected energy in eV per atom: -2.026
Energy of formation from the pure elements in eV per atom: 0.413

```
4
Lattice="0.000 3.805 3.805 3.805 0.000 3.805 3.805 3.805 0.000" Properties=species:S:1:pos:R:3 pbc="T T T"
Ga 5.708 5.708 5.708
Ga 1.903 1.903 1.903
Cs 3.805 3.805 3.805
Ag 0.000 0.000 0.000
```

***

Entry 6:
First-principles (PBE-GGA) data for a relaxed La3Nd2Sm5 crystal, as listed in Alexandria.

Values from the calculation:
Mass density in g/cm3: 6.9
Uncorrected energy in eV per atom: -4.628
Energy of formation from the pure elements in eV per atom: 0.163

```
20
Lattice="-6.366 -2.619 6.180 -5.089 -6.590 -4.006 11.126 -1.398 1.929" Properties=species:S:1:pos:R:3 pbc="T T T"
Nd -1.830 -3.506 2.638
Nd 1.501 -7.101 1.466
Nd 3.333 -3.123 6.104
Nd -3.662 -7.485 -2.000
Sm -1.773 -6.577 0.862
Sm -0.441 -7.344 4.307
Sm -5.538 -7.801 0.878
Sm 0.112 -3.263 -0.203
Sm -3.852 -4.265 -0.300
Sm 3.524 -6.342 4.403
Sm 5.209 -2.806 3.226
Sm -2.367 -4.641 5.980
Sm 2.039 -5.966 -1.877
Sm 1.445 -4.030 3.241
La -4.273 -5.391 3.074
La 4.179 -8.347 -0.680
La 0.972 -5.098 6.586
La 3.945 -5.217 1.029
La -4.508 -2.261 4.784
La -1.300 -5.510 -2.482
```

***

Entry 7:
First-principles (PBE-GGA) data for a relaxed LaTb6Ho crystal, as listed in Alexandria.

Values from the calculation:
Energy above the lowest structure with this stoichiometry in meV/atom: 0
Mass density in g/cm3: 8.0
Uncorrected energy in eV per atom: -4.635
Energy of formation from the pure elements in eV per atom: 0.026

```
8
Lattice="-2.771 -4.092 -1.115 4.117 -2.274 -1.882 2.039 -3.871 9.137" Properties=species:S:1:pos:R:3 pbc="T T T"
La 0.000 0.000 0.000
Tb -0.866 -3.031 1.767
Tb 1.693 -5.119 3.070
Tb 0.673 -3.183 -1.499
Tb 3.579 -4.023 5.871
Tb 0.135 -4.932 6.255
Tb 2.577 -2.122 1.384
Ho 1.020 -1.936 4.569
```

***

Entry 8:
First-principles (PBE-GGA) data for a relaxed InHg3H4 crystal, as listed in Alexandria.

Values from the calculation:
Mass density in g/cm3: 7.8
Uncorrected energy in eV per atom: -2.091

```
8
Lattice="-2.373 -1.335 -1.897 3.534 -0.631 -4.021 5.704 -7.373 1.500" Properties=species:S:1:pos:R:3 pbc="T T T"
In 1.767 -0.316 -2.011
H 4.459 -5.493 -1.452
H 3.937 -5.098 -1.073
H 2.406 -3.846 -2.967
H 2.928 -4.240 -3.346
Hg 4.821 -6.536 -4.098
Hg 2.043 -2.803 -0.320
Hg -1.186 -0.667 -0.949
```

***

Entry 9:
First-principles (PBE-GGA) data for a relaxed LaB2Rh7 crystal, as listed in Alexandria.

Values from the calculation:
Mass density in g/cm3: 9.4
Uncorrected energy in eV per atom: -7.046
Energy of formation from the pure elements in eV per atom: -0.072

```
10
Lattice="-3.862 -0.564 -1.479 -1.691 -2.830 5.494 -0.888 6.345 -0.102" Properties=species:S:1:pos:R:3 pbc="T T T"
Rh -3.905 3.808 2.853
Rh -2.537 -0.857 1.061
Rh -2.318 1.645 -0.466
Rh -1.134 3.532 1.614
Rh -3.221 1.475 1.957
Rh -1.445 -0.018 3.779
Rh -4.124 1.305 4.379
La 0.000 0.000 0.000
B -3.384 -0.388 3.093
B -3.058 3.339 0.820
```

***

Entry 10:
First-principles (PBE-GGA) data for a relaxed NaPNO2 crystal, as listed in Alexandria.

Values from the calculation:
Mass density in g/cm3: 2.8
Formation energy from raw total energies in meV/atom: 634
Uncorrected energy in eV per atom: -4.360

```
5
Lattice="-0.504 3.910 1.490 -2.984 -1.388 2.633 2.357 -0.595 2.358" Properties=species:S:1:pos:R:3 pbc="T T T"
O -0.252 1.955 0.745
O -1.492 -0.694 1.317
Na -0.565 0.964 3.241
P 1.179 -0.297 1.179
N 0.000 0.000 0.000
```

***

Entry 11:
First-principles (PBE-GGA) data for a relaxed RbAuF2 crystal, as listed in Alexandria.

Values from the calculation:
Energy above the lowest structure with this stoichiometry in meV/atom: 313
Mass density in g/cm3: 5.6
Formation energy from raw total energies in meV/atom: -1407
Uncorrected energy in eV per atom: -3.404

```
8
Lattice="-3.156 2.607 -3.186 0.109 -3.960 -3.348 -7.083 -3.520 -0.085" Properties=species:S:1:pos:R:3 pbc="T T T"
F -1.852 -3.232 -2.265
F -3.975 0.457 -2.679
F -7.971 -4.132 -6.042
F -6.464 -2.839 -2.254
Au -5.882 -0.795 -3.269
Au 0.000 0.000 0.000
Rb -4.249 -4.078 -3.350
Rb -1.524 -0.676 -3.267
```

***

Entry 12:
First-principles (PBE-GGA) data for a relaxed CePu2OsN4 crystal, as listed in Alexandria.

Values from the calculation:
Mass density in g/cm3: 12.7
Formation energy from raw total energies in meV/atom: -890
Uncorrected energy in eV per atom: -10.781

```
16
Lattice="-2.287 -1.670 1.816 -0.281 -2.327 -5.610 8.070 -7.917 2.880" Properties=species:S:1:pos:R:3 pbc="T T T"
Os 3.908 -8.994 -0.235
Os 1.594 -2.920 -0.679
Ce -0.240 -5.287 -2.049
Ce 5.742 -6.627 1.135
Pu 2.119 -5.233 0.971
Pu 3.383 -6.682 -1.886
Pu 6.621 -9.858 -0.730
Pu -1.119 -2.056 -0.184
N 4.759 -8.809 -2.109
N 4.035 -3.958 1.440
N 2.254 -4.702 -1.486
N 0.743 -3.106 1.195
N 0.225 -2.711 -2.211
N 0.000 0.000 0.000
N 3.248 -7.212 0.572
N 5.277 -9.203 1.296
```

***

- mass density of number 6 (La3Nd2Sm5)?
  6.9 g/cm3

***

- The lowest uncorrected energy belongs to which entry?
  CePu2OsN4

***

What did the eleventh record say?
First-principles (PBE-GGA) data for a relaxed RbAuF2 crystal, as listed in Alexandria.

Values from the calculation:
Energy above the lowest structure with this stoichiometry in meV/atom: 313
Mass density in g/cm3: 5.6
Formation energy from raw total energies in meV/atom: -1407
Uncorrected energy in eV per atom: -3.404

```
8
Lattice="-3.156 2.607 -3.186 0.109 -3.960 -3.348 -7.083 -3.520 -0.085" Properties=species:S:1:pos:R:3 pbc="T T T"
F -1.852 -3.232 -2.265
F -3.975 0.457 -2.679
F -7.971 -4.132 -6.042
F -6.464 -2.839 -2.254
Au -5.882 -0.795 -3.269
Au 0.000 0.000 0.000
Rb -4.249 -4.078 -3.350
Rb -1.524 -0.676 -3.267
```

***

- The highest mass density belongs to which entry?
  CePu2OsN4